[1]
Density functional theory data (PBE) for TlHgP after structural relaxation.

abc: 6.838 6.838 6.838
angles: 90.00 90.00 90.00
Space group F-43m (No. 216)
Unique sites:
Tl: 0.000 0.000 0.000 x4
Hg: 0.000 0.000 0.500 x4
P: 0.250 0.250 0.750 x4

Output
Its total energy is -29.00 eV/cell. The calculation puts the offset from the most stable computed form at 237 meV/atom. For the volume, the calculation gives 26.64 Å³ per atom. As for the energy relative to the elements: 0.28 eV per atom.



[2]
Density functional theory data (PBE) for Tl12Hg5P2 after structural relaxation.

abc: 17.026 7.473 10.748
angles: 90.00 112.92 90.00
Space group C2/m (No. 12)
Unique sites:
Tl: 0.009 0.000 0.196 x4
Tl: 0.110 0.500 0.280 x4
Tl: 0.142 0.222 0.552 x8
Tl: 0.174 0.227 0.076 x8
Hg: 0.000 0.500 0.500 x2
Hg: 0.177 0.000 0.817 x4
Hg: 0.211 0.000 0.355 x4
P: 0.000 0.355 0.000 x4

Output
Its total energy is -78.29 eV/cell. For the volume, the calculation gives 33.15 Å³ per atom. As for the energy relative to the elements: 0.08 eV per atom.



[3]
Density functional theory data (PBE) for TlHg2P2 after structural relaxation.

abc: 5.157 5.157 9.131
angles: 90.00 90.00 90.00
Space group I4/mmm (No. 139)
Unique sites:
Tl: 0.000 0.000 0.000 x2
Hg: 0.000 0.500 0.250 x4
P: 0.000 0.000 0.384 x4

Output
Its total energy is -25.50 eV/cell. The calculation puts the offset from the most stable computed form at 0 meV/atom. For the volume, the calculation gives 24.28 Å³ per atom. As for the energy relative to the elements: 0.21 eV per atom.



[4]
Density functional theory data (PBE) for Tl2Hg2P after structural relaxation.

abc: 7.196 7.196 5.257
angles: 90.00 90.00 90.00
Space group P4/mbm (No. 127)
Unique sites:
Tl: 0.173 0.327 0.000 x4
Hg: 0.146 0.646 0.500 x4
P: 0.000 0.000 0.500 x2

Output
Its total energy is -19.66 eV/cell. For the volume, the calculation gives 27.22 Å³ per atom. As for the energy relative to the elements: 0.18 eV per atom.



[5]
Density functional theory data (PBE) for TlHgP4 after structural relaxation.

abc: 8.659 8.659 8.659
angles: 90.00 90.00 90.00
Space group F-43m (No. 216)
Unique sites:
Tl: 0.000 0.000 0.000 x4
Hg: 0.250 0.250 0.750 x4
P: 0.091 0.091 0.409 x16

Output
Its total energy is -92.22 eV/cell. For the volume, the calculation gives 27.05 Å³ per atom. As for the energy relative to the elements: 0.21 eV per atom.



[6]
Density functional theory data (PBE) for TlHgP2 after structural relaxation.

abc: 5.046 6.339 6.845
angles: 90.00 90.00 90.00
Space group Immm (No. 71)
Unique sites:
Tl: 0.000 0.000 0.000 x2
Hg: 0.000 0.000 0.500 x2
P: 0.000 0.500 0.156 x4

Output
Its total energy is -23.58 eV/cell. The calculation puts the offset from the most stable computed form at 381 meV/atom. For the volume, the calculation gives 27.37 Å³ per atom. As for the energy relative to the elements: 0.42 eV per atom.



[7]
Density functional theory data (PBE) for TlHgP2 after structural relaxation.

abc: 5.779 7.877 4.619
angles: 90.00 122.28 90.00
Space group C2/m (No. 12)
Unique sites:
Tl: 0.000 0.000 0.000 x2
Hg: 0.000 0.500 0.000 x2
P: 0.250 0.250 0.500 x4

Output
Its total energy is -23.06 eV/cell. The calculation puts the offset from the most stable computed form at 446 meV/atom. For the volume, the calculation gives 22.22 Å³ per atom. As for the energy relative to the elements: 0.49 eV per atom.



[8]
Density functional theory data (PBE) for TlHgP after structural relaxation.

abc: 3.084 5.492 8.778
angles: 90.00 90.00 90.00
Space group Imm2 (No. 44)
Unique sites:
Tl: 0.000 0.000 0.000 x2
Hg: 0.000 0.000 0.341 x2
P: 0.000 0.000 0.647 x2

Output
Its total energy is -13.50 eV/cell. The calculation puts the offset from the most stable computed form at 403 meV/atom. For the volume, the calculation gives 24.78 Å³ per atom. As for the energy relative to the elements: 0.44 eV per atom.